No. 1
TbTm2Al2 | PBE-GGA | optimized geometry

Output
E_form (eV per atom): -0.15
Offset from the most stable computed form (meV per atom): 168
E (eV/atom): -4.36
Magnetic moment (μB per cell): 0.00
Symmetry: No. 11

Unit cell a=3.6202 b=5.5380 c=13.1971 alpha=96.31 beta=90.00 gamma=90.00
Closest atoms and distances in Å follow each position.
Fractional positions:
Tb1 0.2500 0.6809 0.2347  2 Al 3.11
Tb2 0.7500 0.3191 0.7653  2 Al 3.11
Tm1 0.2500 0.8464 0.8885  5 Al 2.84-3.02
Tm2 0.7500 0.1536 0.1115  5 Al 2.84-3.02
Tm3 0.2500 0.2597 0.5375  4 Al 3.14-3.20, 4 Tm 3.45, 2 Tb 3.49
Tm4 0.7500 0.7403 0.4625  4 Al 3.14-3.20, 4 Tm 3.45, 2 Tb 3.49
Al1 0.2500 0.7933 0.6586  5 Tm 3.02-3.20
Al2 0.7500 0.2067 0.3414  5 Tm 3.02-3.20
Al3 0.2500 0.3501 0.9582  2 Al 2.62, 1 Tm 2.84
Al4 0.7500 0.6499 0.0418  2 Al 2.62, 1 Tm 2.84

---

No. 2
Tb7TmAl5 | PBE-GGA | optimized geometry

Output
E_form (eV per atom): -0.21
E (eV/atom): -4.49
Magnetic moment (μB per cell): 0.00
Symmetry: No. 44

Unit cell a=6.1385 b=8.0316 c=8.0316 alpha=79.67 beta=67.53 gamma=67.53
Closest atoms and distances in Å follow each position.
Fractional positions:
Tb1 0.6711 0.3289 0.3289  4 Al 3.18, 2 Tb 3.26
Tb2 0.3344 0.6656 0.6656  6 Al 3.06-3.23
Tb3 0.9903 0.3447 0.6746  5 Al 3.15-3.26, 4 Tb 3.39-3.48, 1 Tm 3.45
Tb4 0.9903 0.6746 0.3447  5 Al 3.15-3.26, 4 Tb 3.39-3.48, 1 Tm 3.45
Tb5 0.2741 0.2259 0.2259  4 Al 3.09, 4 Tb 3.17-3.26
Tb6 0.5064 0.8018 0.1854  5 Al 3.02-3.27, 1 Tb 3.17
Tb7 0.5064 0.1854 0.8018  5 Al 3.02-3.27, 1 Tb 3.17
Tm1 0.0106 0.9894 0.9894  8 Tb 3.45-3.65, 4 Al 3.83
Al1 0.4916 0.9965 0.5153  3 Al 2.92-3.10, 7 Tb 3.02-3.27
Al2 0.9966 0.9965 0.5153  3 Al 2.92-3.10, 7 Tb 3.02-3.27
Al3 0.4916 0.5153 0.9965  3 Al 2.92-3.10, 7 Tb 3.02-3.27
Al4 0.9966 0.5153 0.9965  3 Al 2.92-3.10, 7 Tb 3.02-3.27
Al5 0.7399 0.7601 0.7601  4 Al 2.92, 6 Tb 3.17-3.23

---

No. 3
TbTm3Al8 | PBE-GGA | optimized geometry

Output
E_form (eV per atom): -0.51
Offset from the most stable computed form (meV per atom): 0
E (eV/atom): -4.50
Magnetic moment (μB per cell): 0.00
Symmetry: No. 160

Unit cell a=5.5201 b=5.5201 c=9.6032 alpha=73.30 beta=73.30 gamma=60.00
Closest atoms and distances in Å follow each position.
Fractional positions:
Tb1 0.8751 0.8751 0.3747  12 Al 3.24-3.26, 4 Tm 3.39-3.40
Tm1 0.3754 0.3754 0.8739  12 Al 3.23-3.25, 4 Tm 3.37-3.39
Tm2 0.0000 0.0000 0.0000  12 Al 3.24, 3 Tm 3.39, 1 Tb 3.40
Tm3 0.4995 0.4995 0.5015  12 Al 3.24-3.27, 1 Tm 3.37, 3 Tb 3.39
Al1 0.9380 0.4378 0.1863  6 Al 2.76-2.78
Al2 0.4368 0.9373 0.6886  6 Al 2.76-2.77
Al3 0.4378 0.4378 0.1863  6 Al 2.76-2.78
Al4 0.9373 0.9373 0.6886  6 Al 2.76-2.77
Al5 0.1874 0.1874 0.4379  6 Al 2.77-2.78
Al6 0.6876 0.6876 0.9372  6 Al 2.76
Al7 0.4378 0.9380 0.1863  6 Al 2.76-2.78
Al8 0.9373 0.4368 0.6886  6 Al 2.76-2.77